# 1
Zn2Re: relaxed, PBE.

Results
Space group: P6_3/mmc, No. 194
E_form, eV per atom: 0.278

Cell: 4.859 4.859 7.900 Å, 90.00 90.00 120.00°
Positions (direct):
1 Zn 0.000 0.000 0.000
2 Zn 0.000 0.000 0.500
3 Zn 0.171 0.342 0.250
4 Zn 0.171 0.829 0.250
5 Zn 0.342 0.171 0.750
6 Zn 0.658 0.829 0.250
7 Zn 0.829 0.171 0.750
8 Zn 0.829 0.658 0.750
9 Re 0.333 0.667 0.562
10 Re 0.333 0.667 0.938
11 Re 0.667 0.333 0.062
12 Re 0.667 0.333 0.438

# 2
ZnRe: relaxed, PBE.

Results
Space group: P2_1/m, No. 11
E_form, eV per atom: 0.189

Cell: 5.334 4.496 7.357 Å, 90.00 100.28 90.00°
Positions (direct):
1 Zn 0.134 0.250 0.060
2 Zn 0.306 0.250 0.733
3 Zn 0.357 0.750 0.947
4 Zn 0.643 0.250 0.053
5 Zn 0.694 0.750 0.267
6 Zn 0.866 0.750 0.940
7 Re 0.040 0.750 0.607
8 Re 0.199 0.750 0.285
9 Re 0.484 0.250 0.388
10 Re 0.516 0.750 0.612
11 Re 0.801 0.250 0.715
12 Re 0.960 0.250 0.393

# 3
ZnRe: relaxed, PBE.

Results
Space group: Amm2, No. 38
E_form, eV per atom: 0.258

Cell: 4.357 7.457 7.457 Å, 143.27 90.00 90.00°
Positions (direct):
1 Zn 0.000 0.000 0.000
2 Zn 0.000 0.198 0.795
3 Zn 0.000 0.795 0.198
4 Zn 0.500 0.111 0.511
5 Zn 0.500 0.511 0.111
6 Re 0.000 0.412 0.605
7 Re 0.000 0.605 0.412
8 Re 0.500 0.311 0.311
9 Re 0.500 0.714 0.905
10 Re 0.500 0.905 0.714

# 4
ZnRe: relaxed, PBE.

Results
Space group: Pmmn, No. 59
E_form, eV per atom: 0.128

Cell: 2.812 4.384 9.380 Å, 90.00 90.00 90.00°
Positions (direct):
1 Zn 0.250 0.250 0.043
2 Zn 0.250 0.750 0.207
3 Zn 0.750 0.250 0.793
4 Zn 0.750 0.750 0.957
5 Re 0.250 0.250 0.544
6 Re 0.250 0.750 0.705
7 Re 0.750 0.250 0.295
8 Re 0.750 0.750 0.456

# 5
ZnRe: relaxed, PBE.

Results
Space group: Pmm2, No. 25
E_form, eV per atom: 0.165

Cell: 4.470 5.387 4.762 Å, 90.00 90.00 90.00°
Positions (direct):
1 Zn 0.000 0.000 0.000
2 Zn 0.000 0.256 0.493
3 Zn 0.000 0.744 0.493
4 Zn 0.500 0.000 0.669
5 Re 0.000 0.500 0.985
6 Re 0.500 0.241 0.171
7 Re 0.500 0.500 0.657
8 Re 0.500 0.759 0.171

# 6
ZnRe2: relaxed, PBE.

Results
Space group: Fd-3m, No. 227
E_form, eV per atom: 0.581

Cell: 5.168 5.168 5.168 Å, 60.00 60.00 60.00°
Positions (direct):
1 Zn 0.125 0.125 0.125
2 Zn 0.875 0.875 0.875
3 Re 0.000 0.500 0.500
4 Re 0.500 0.000 0.500
5 Re 0.500 0.500 0.000
6 Re 0.500 0.500 0.500

# 7
Zn3Re: relaxed, PBE.

Results
Space group: P6_3/mmc, No. 194
E_form, eV per atom: 0.260

Cell: 5.371 5.371 4.491 Å, 90.00 90.00 120.00°
Positions (direct):
1 Zn 0.168 0.337 0.250
2 Zn 0.168 0.832 0.250
3 Zn 0.337 0.168 0.750
4 Zn 0.663 0.832 0.250
5 Zn 0.832 0.168 0.750
6 Zn 0.832 0.663 0.750
7 Re 0.333 0.667 0.750
8 Re 0.667 0.333 0.250

# 8
ZnRe2: relaxed, PBE.

Results
Space group: Fd-3m, No. 227
E_form, eV per atom: 4.328

Cell: 8.053 8.053 8.053 Å, 60.00 60.00 60.00°
Positions (direct):
1 Zn 0.125 0.125 0.125
2 Zn 0.875 0.875 0.875
3 Re 0.000 0.000 0.000
4 Re 0.000 0.000 0.500
5 Re 0.000 0.500 0.000
6 Re 0.500 0.000 0.000

no.,calculated total energy (eV/atom),E above lowest polymorph (eV per atom)
1,-4.706,0.148
2,-6.654,0.082
3,-6.586,0.150
4,-6.716,0.021
5,-6.679,0.057
6,-8.123,0.000
7,-3.795,0.158
8,-4.376,3.747